[1]
Material: Nd4Zr3TiO14
Method: DFT, SCAN
State: single point on PBEsol structure

Space group: R-3m (166)
Formation energy from raw total energies: -3746.5 meV per atom
Crystal system: trigonal
D(E_F): 0.00 states/eV per atom

POSCAR file:
```
Nd4Zr3TiO14
1.0
7.466 0.006 0.005
3.737 6.463 0.005
3.737 2.158 6.092
Nd Zr Ti O
4 3 1 14
Direct
0.500 0.500 0.500 Nd
0.000 0.500 0.500 Nd
0.500 0.500 0.000 Nd
0.500 0.000 0.500 Nd
0.500 0.000 0.000 Zr
0.000 0.000 0.500 Zr
0.000 0.500 0.000 Zr
0.000 0.000 0.000 Ti
0.374 0.374 0.374 O
0.626 0.626 0.626 O
0.916 0.339 0.339 O
0.319 0.923 0.923 O
0.339 0.339 0.916 O
0.923 0.923 0.319 O
0.923 0.319 0.923 O
0.339 0.916 0.339 O
0.084 0.661 0.661 O
0.681 0.077 0.077 O
0.661 0.661 0.084 O
0.077 0.077 0.681 O
0.077 0.681 0.077 O
0.661 0.084 0.661 O
```


[2]
Material: Nd2WO6
Method: DFT, SCAN
State: single point on PBEsol structure

Space group: P2_12_12_1 (19)
Formation energy from raw total energies: -3226.8 meV per atom
Crystal system: orthorhombic
Relative energy among the computed polymorphs: 0.050 eV/f.u.
D(E_F): 0.00 states/eV per atom

POSCAR file:
```
Nd2WO6
1.0
5.367 0.000 0.000
0.000 9.277 0.000
0.000 0.000 10.131
Nd W O
8 4 24
Direct
0.474 0.603 0.537 Nd
0.974 0.897 0.463 Nd
0.526 0.103 0.963 Nd
0.026 0.397 0.037 Nd
0.968 0.781 0.870 Nd
0.468 0.719 0.130 Nd
0.032 0.281 0.630 Nd
0.532 0.219 0.370 Nd
0.457 0.996 0.649 W
0.957 0.504 0.351 W
0.543 0.496 0.851 W
0.043 0.004 0.149 W
0.247 0.091 0.509 O
0.747 0.409 0.491 O
0.753 0.591 0.991 O
0.253 0.909 0.009 O
0.722 0.110 0.564 O
0.222 0.390 0.436 O
0.278 0.610 0.936 O
0.778 0.890 0.064 O
0.566 0.849 0.524 O
0.066 0.651 0.476 O
0.434 0.349 0.976 O
0.934 0.151 0.024 O
0.184 0.862 0.260 O
0.684 0.638 0.740 O
0.816 0.362 0.240 O
0.316 0.138 0.760 O
0.828 0.050 0.287 O
0.328 0.450 0.713 O
0.172 0.550 0.213 O
0.672 0.950 0.787 O
0.311 0.135 0.179 O
0.811 0.365 0.821 O
0.689 0.635 0.321 O
0.189 0.865 0.679 O
```


[3]
Material: Nd2W2O9
Method: DFT, SCAN
State: single point on PBEsol structure

Space group: P2_1/c (14)
Formation energy from raw total energies: -2972.9 meV per atom
Crystal system: monoclinic
D(E_F): 0.00 states/eV per atom

POSCAR file:
```
Nd2W2O9
1.0
7.647 0.011 0.000
-2.784 8.794 0.000
0.000 0.000 9.825
Nd W O
8 8 36
Direct
0.715 0.428 0.548 Nd
0.715 0.928 0.952 Nd
0.227 0.153 0.447 Nd
0.773 0.347 0.947 Nd
0.227 0.653 0.053 Nd
0.773 0.847 0.553 Nd
0.285 0.072 0.048 Nd
0.285 0.572 0.452 Nd
0.069 0.739 0.751 W
0.577 0.964 0.273 W
0.931 0.261 0.249 W
0.577 0.464 0.227 W
0.069 0.239 0.749 W
0.931 0.761 0.251 W
0.423 0.036 0.727 W
0.423 0.536 0.773 W
0.051 0.342 0.410 O
0.736 0.640 0.366 O
0.264 0.860 0.866 O
0.412 0.072 0.291 O
0.554 0.608 0.604 O
0.588 0.928 0.709 O
0.012 0.905 0.380 O
0.775 0.077 0.378 O
0.898 0.840 0.783 O
0.898 0.340 0.717 O
0.446 0.392 0.396 O
0.554 0.108 0.896 O
0.775 0.577 0.122 O
0.949 0.158 0.910 O
0.949 0.658 0.590 O
0.225 0.423 0.878 O
0.504 0.178 0.596 O
0.225 0.923 0.622 O
0.504 0.678 0.904 O
0.496 0.822 0.404 O
0.988 0.595 0.880 O
0.051 0.842 0.090 O
0.743 0.360 0.313 O
0.588 0.428 0.791 O
0.736 0.140 0.134 O
0.264 0.360 0.634 O
0.257 0.640 0.687 O
0.496 0.322 0.096 O
0.743 0.860 0.187 O
0.446 0.892 0.104 O
0.412 0.572 0.209 O
0.012 0.405 0.120 O
0.102 0.660 0.283 O
0.988 0.095 0.620 O
0.102 0.160 0.217 O
0.257 0.140 0.813 O
```


[4]
Material: Nd2WO6
Method: DFT, SCAN
State: single point on PBEsol structure

Space group: C2/c (15)
Formation energy from raw total energies: -3232.3 meV per atom
Crystal system: monoclinic
Relative energy among the computed polymorphs: 0.000 eV/f.u.
D(E_F): 0.00 states/eV per atom

POSCAR file:
```
Nd2WO6
1.0
-2.357 1.923 -4.594
6.755 -1.846 -7.138
-2.376 -8.246 -5.133
Nd W O
8 4 24
Direct
0.250 0.109 0.891 Nd
0.750 0.891 0.109 Nd
0.387 0.710 0.941 Nd
0.113 0.059 0.290 Nd
0.613 0.290 0.059 Nd
0.887 0.941 0.710 Nd
0.250 0.629 0.371 Nd
0.750 0.371 0.629 Nd
0.433 0.197 0.497 W
0.067 0.503 0.803 W
0.567 0.803 0.503 W
0.933 0.497 0.197 W
0.877 0.824 0.382 O
0.623 0.618 0.176 O
0.123 0.176 0.618 O
0.377 0.382 0.824 O
0.276 0.940 0.527 O
0.224 0.473 0.060 O
0.724 0.060 0.473 O
0.776 0.527 0.940 O
0.642 0.782 0.679 O
0.858 0.321 0.218 O
0.358 0.218 0.321 O
0.142 0.679 0.782 O
0.922 0.079 0.105 O
0.578 0.895 0.921 O
0.078 0.921 0.895 O
0.422 0.105 0.079 O
0.920 0.319 0.840 O
0.580 0.160 0.681 O
0.080 0.681 0.160 O
0.420 0.840 0.319 O
0.022 0.543 0.618 O
0.478 0.382 0.457 O
0.978 0.457 0.382 O
0.522 0.618 0.543 O
```


[5]
Material: NdZr9O20
Method: DFT, SCAN
State: single point on PBEsol structure

Space group: P-1 (2)
Formation energy from raw total energies: -3636.9 meV per atom
Crystal system: triclinic
Relative energy among the computed polymorphs: 0.923 eV/f.u.
D(E_F): 0.29 states/eV per atom

POSCAR file:
```
NdZr9O20
1.0
6.268 -0.006 0.005
-2.079 6.934 -0.005
-1.053 -2.209 7.716
Nd Zr O
1 9 20
Direct
0.000 0.500 0.000 Nd
0.797 0.600 0.599 Zr
0.602 0.199 0.202 Zr
0.799 0.098 0.598 Zr
0.398 0.801 0.798 Zr
0.601 0.702 0.200 Zr
0.203 0.400 0.401 Zr
0.399 0.298 0.800 Zr
0.000 0.000 0.000 Zr
0.201 0.902 0.402 Zr
0.645 0.925 0.049 O
0.444 0.525 0.646 O
0.630 0.420 0.056 O
0.731 0.365 0.735 O
0.261 0.126 0.250 O
0.444 0.021 0.648 O
0.556 0.979 0.352 O
0.048 0.739 0.841 O
0.739 0.874 0.750 O
0.370 0.580 0.944 O
0.855 0.328 0.453 O
0.269 0.635 0.265 O
0.556 0.475 0.354 O
0.150 0.174 0.545 O
0.052 0.206 0.839 O
0.948 0.794 0.161 O
0.850 0.826 0.455 O
0.355 0.075 0.951 O
0.145 0.672 0.547 O
0.952 0.261 0.159 O
```


[6]
Material: NdZr9O20
Method: DFT, SCAN
State: single point on PBEsol structure

Space group: P1 (1)
Formation energy from raw total energies: -3667.6 meV per atom
Crystal system: triclinic
Relative energy among the computed polymorphs: 0.000 eV/f.u.

POSCAR file:
```
NdZr9O20
1.0
6.284 0.099 -0.003
2.349 6.986 0.239
2.018 1.494 8.005
Nd Zr O
1 9 20
Direct
0.400 0.344 0.693 Nd
0.217 0.547 0.079 Zr
0.209 0.029 0.086 Zr
0.608 0.147 0.283 Zr
0.609 0.632 0.284 Zr
0.017 0.754 0.470 Zr
0.994 0.236 0.478 Zr
0.398 0.840 0.676 Zr
0.834 0.944 0.878 Zr
0.800 0.429 0.891 Zr
0.591 0.462 0.126 O
0.875 0.687 0.070 O
0.993 0.058 0.322 O
0.266 0.295 0.264 O
0.821 0.121 0.051 O
0.490 0.937 0.213 O
0.383 0.674 0.517 O
0.673 0.895 0.479 O
0.229 0.720 0.238 O
0.898 0.543 0.395 O
0.803 0.254 0.731 O
0.018 0.530 0.679 O
0.640 0.322 0.433 O
0.288 0.137 0.583 O
0.185 0.872 0.919 O
0.487 0.050 0.889 O
0.025 0.921 0.642 O
0.699 0.749 0.799 O
0.433 0.539 0.852 O
0.114 0.331 0.981 O
```


[7]
Material: Nd3Os
Method: DFT, SCAN
State: single point on PBEsol structure

Space group: Pnma (62)
Formation enthalpy at 0 K: -0.196 eV per atom
Crystal system: orthorhombic
D(E_F): 0.85 states/eV per atom

POSCAR file:
```
Nd3Os
1.0
-5.671 0.174 2.945
1.312 -6.670 2.922
4.034 4.090 7.526
Nd Os
12 4
Direct
0.332 0.676 0.065 Nd
0.168 0.176 0.435 Nd
0.668 0.324 0.565 Nd
0.832 0.824 0.935 Nd
0.668 0.324 0.935 Nd
0.832 0.824 0.565 Nd
0.332 0.676 0.435 Nd
0.168 0.176 0.065 Nd
0.862 0.540 0.250 Nd
0.638 0.040 0.250 Nd
0.138 0.460 0.750 Nd
0.362 0.960 0.750 Nd
0.054 0.886 0.250 Os
0.446 0.386 0.250 Os
0.946 0.114 0.750 Os
0.554 0.614 0.750 Os
```


[8]
Material: NdOs2
Method: DFT, SCAN
State: single point on PBEsol structure

Space group: P6_3/mmc (194)
Formation enthalpy at 0 K: -0.222 eV per atom
Crystal system: hexagonal
D(E_F): 0.95 states/eV per atom

POSCAR file:
```
NdOs2
1.0
5.303 0.000 0.000
-2.651 4.592 0.000
0.000 0.000 9.016
Nd Os
4 8
Direct
0.333 0.667 0.064 Nd
0.667 0.333 0.936 Nd
0.667 0.333 0.564 Nd
0.333 0.667 0.436 Nd
0.661 0.831 0.750 Os
0.169 0.831 0.750 Os
0.831 0.661 0.250 Os
0.339 0.169 0.250 Os
0.169 0.339 0.750 Os
0.000 0.000 0.500 Os
0.831 0.169 0.250 Os
0.000 0.000 0.000 Os
```


[9]
Material: NdP12Os4
Method: DFT, SCAN
State: single point on PBEsol structure

Space group: Im-3 (204)
Formation enthalpy at 0 K: -0.691 eV per atom
Crystal system: cubic
D(E_F): 0.23 states/eV per atom

POSCAR file:
```
NdP12Os4
1.0
6.974 0.000 0.000
-2.325 6.575 0.000
-2.325 -3.288 5.694
Nd P Os
1 12 4
Direct
0.000 0.000 0.000 Nd
0.643 0.499 0.856 P
0.357 0.501 0.144 P
0.357 0.213 0.856 P
0.643 0.787 0.144 P
0.787 0.144 0.643 P
0.213 0.856 0.357 P
0.501 0.144 0.357 P
0.499 0.856 0.643 P
0.144 0.357 0.501 P
0.856 0.643 0.499 P
0.144 0.643 0.787 P
0.856 0.357 0.213 P
0.000 0.500 0.000 Os
0.500 0.500 0.500 Os
0.000 0.000 0.500 Os
0.500 0.000 0.000 Os
```


[10]
Material: NdSb12Os4
Method: DFT, SCAN
State: single point on PBEsol structure

Space group: Im-3 (204)
Formation energy from raw total energies: -264.8 meV per atom
Crystal system: cubic
D(E_F): 0.70 states/eV per atom

POSCAR file:
```
NdSb12Os4
1.0
-6.206 3.725 -3.534
-1.453 -0.743 7.888
6.706 4.324 -1.099
Nd Sb Os
1 12 4
Direct
0.000 0.000 0.000 Nd
0.843 0.503 0.660 Sb
0.157 0.497 0.340 Sb
0.157 0.817 0.660 Sb
0.843 0.183 0.340 Sb
0.183 0.340 0.843 Sb
0.817 0.660 0.157 Sb
0.497 0.340 0.157 Sb
0.503 0.660 0.843 Sb
0.340 0.157 0.497 Sb
0.660 0.843 0.503 Sb
0.340 0.843 0.183 Sb
0.660 0.157 0.817 Sb
0.000 0.500 0.000 Os
0.500 0.500 0.500 Os
0.000 0.000 0.500 Os
0.500 0.000 0.000 Os
```


[11]
Material: Nd3P6Pd20
Method: DFT, SCAN
State: single point on PBEsol structure

Space group: Fm-3m (225)
Formation enthalpy at 0 K: -0.763 eV per atom
Crystal system: cubic
D(E_F): 0.40 states/eV per atom

POSCAR file:
```
Nd3P6Pd20
1.0
8.600 0.000 0.000
4.300 7.448 0.000
4.300 2.483 7.022
Nd P Pd
3 6 20
Direct
0.250 0.250 0.250 Nd
0.750 0.750 0.750 Nd
0.000 0.000 0.000 Nd
0.737 0.263 0.263 P
0.263 0.737 0.737 P
0.737 0.263 0.737 P
0.263 0.737 0.263 P
0.737 0.737 0.263 P
0.263 0.263 0.737 P
0.842 0.386 0.386 Pd
0.158 0.614 0.614 Pd
0.386 0.842 0.386 Pd
0.386 0.386 0.842 Pd
0.614 0.158 0.614 Pd
0.614 0.614 0.158 Pd
0.386 0.386 0.386 Pd
0.614 0.614 0.614 Pd
0.653 0.000 0.000 Pd
0.347 0.000 0.000 Pd
0.000 0.653 0.347 Pd
0.000 0.347 0.653 Pd
0.653 0.000 0.347 Pd
0.000 0.347 0.000 Pd
0.347 0.000 0.653 Pd
0.000 0.653 0.000 Pd
0.653 0.347 0.000 Pd
0.347 0.653 0.000 Pd
0.000 0.000 0.347 Pd
0.000 0.000 0.653 Pd
```


[12]
Material: NdP2Rh2
Method: DFT, SCAN
State: single point on PBEsol structure

Space group: P4/nmm (129)
Formation enthalpy at 0 K: -1.238 eV per atom
Crystal system: tetragonal
D(E_F): 0.44 states/eV per atom

POSCAR file:
```
NdP2Rh2
1.0
4.106 0.000 0.000
0.000 4.106 0.000
0.000 0.000 9.503
Nd P Rh
2 4 4
Direct
0.000 0.500 0.258 Nd
0.500 0.000 0.742 Nd
0.000 0.000 0.500 P
0.500 0.500 0.500 P
0.000 0.500 0.862 P
0.500 0.000 0.138 P
0.000 0.000 0.000 Rh
0.500 0.500 0.000 Rh
0.000 0.500 0.613 Rh
0.500 0.000 0.387 Rh
```


[13]
Material: Nd2P7Rh12
Method: DFT, SCAN
State: single point on PBEsol structure

Space group: P-3 (147)
Formation enthalpy at 0 K: -1.015 eV per atom
Crystal system: trigonal
D(E_F): 0.73 states/eV per atom

POSCAR file:
```
Nd2P7Rh12
1.0
3.842 0.000 0.000
0.000 9.512 0.000
0.000 -4.756 8.237
Nd P Rh
2 7 12
Direct
0.250 0.667 0.333 Nd
0.750 0.333 0.667 Nd
0.500 0.000 0.000 P
0.246 0.116 0.712 P
0.246 0.597 0.884 P
0.246 0.288 0.403 P
0.754 0.884 0.288 P
0.754 0.403 0.116 P
0.754 0.712 0.597 P
0.250 0.381 0.937 Rh
0.250 0.556 0.619 Rh
0.250 0.063 0.444 Rh
0.750 0.619 0.063 Rh
0.750 0.444 0.381 Rh
0.750 0.937 0.556 Rh
0.248 0.890 0.740 Rh
0.248 0.851 0.110 Rh
0.248 0.260 0.149 Rh
0.752 0.110 0.260 Rh
0.752 0.149 0.890 Rh
0.752 0.740 0.851 Rh
```


The records above yield size of the total moment values of 0.000; 0.000; 0.000; 0.000; 0.000; 1.114; 0.000; 0.000; 0.000; 0.000; 0.000; 0.000; 0.000 μB per cell, respectively.